This record from Alexandria describes crystalline LaMnCu3 at its relaxed geometry. The functional is PBE-GGA.

abc: 4.6480 4.6480 4.6480
angles: 90.00 90.00 90.00
Last column: nearest neighbours and their distance in Å.
Fractional positions:
La 0.0000 0.0000 0.0000  12 Cu 3.29
Mn 0.5000 0.5000 0.5000  6 Cu 2.32
Cu 0.0000 0.5000 0.5000  2 Mn 2.32
Cu 0.5000 0.0000 0.5000  2 Mn 2.32
Cu 0.5000 0.5000 0.0000  2 Mn 2.32

DOS at the Fermi energy: 0.918 states/eV per atom
Final energy: -4.958 eV per atom